Record 1
Crystalline La3Pb at its relaxed geometry, computed with GGA-PBEsol.

Cell: 3.6173 5.6673 6.0673 Å, 90.00 90.00 90.00°
Element x y z (fractional)
1 Pb 0.0000 0.5000 0.3444
2 La 0.0000 0.0000 0.0077
3 La 0.5000 0.0000 0.4600
4 La 0.5000 0.5000 0.8545



Record 2
Crystalline La2Pb at its relaxed geometry, computed with GGA-PBEsol.

Cell: 5.3126 5.3126 3.7383 Å, 90.00 90.00 120.00°
Element x y z (fractional)
1 La 0.3333 0.6667 0.3156
2 La 0.6667 0.3333 0.6844
3 Pb 0.0000 0.0000 0.0000



Record 3
Crystalline La7Pb at its relaxed geometry, computed with GGA-PBEsol.

Cell: 7.1138 7.1138 7.1138 Å, 60.00 60.00 60.00°
Element x y z (fractional)
1 La 0.0000 0.0000 0.5000
2 La 0.0000 0.5000 0.0000
3 La 0.5000 0.0000 0.0000
4 La 0.5000 0.5000 0.0000
5 La 0.5000 0.0000 0.5000
6 La 0.0000 0.5000 0.5000
7 La 0.5000 0.5000 0.5000
8 Pb 0.0000 0.0000 0.0000



Record 4
Crystalline La3Pb at its relaxed geometry, computed with GGA-PBEsol.

Cell: 6.5148 7.9073 10.4035 Å, 90.00 90.00 90.00°
Element x y z (fractional)
1 La 0.1319 0.0238 0.7500
2 La 0.6319 0.4762 0.2500
3 La 0.3681 0.5238 0.7500
4 La 0.8681 0.9762 0.2500
5 La 0.5953 0.1981 0.9620
6 La 0.0953 0.3019 0.0380
7 La 0.9047 0.6981 0.5380
8 La 0.4047 0.8019 0.4620
9 La 0.4047 0.8019 0.0380
10 La 0.9047 0.6981 0.9620
11 La 0.0953 0.3019 0.4620
12 La 0.5953 0.1981 0.5380
13 Pb 0.6174 0.8924 0.7500
14 Pb 0.1174 0.6076 0.2500
15 Pb 0.8826 0.3923 0.7500
16 Pb 0.3826 0.1076 0.2500



Record 5
Crystalline LaPb2 at its relaxed geometry, computed with GGA-PBEsol.

Cell: 3.6521 5.3725 5.3725 Å, 120.00 90.00 90.00°
Element x y z (fractional)
1 La 0.0000 0.0000 0.0000
2 Pb 0.5647 0.3333 0.6667
3 Pb 0.4353 0.6667 0.3333



Record 6
Crystalline LaPb at its relaxed geometry, computed with GGA-PBEsol.

Cell: 4.4951 6.4424 8.8738 Å, 90.00 90.00 90.00°
Element x y z (fractional)
1 La 0.7500 0.8761 0.1854
2 La 0.2500 0.3761 0.3146
3 La 0.7500 0.6239 0.6854
4 La 0.2500 0.1239 0.8146
5 Pb 0.7500 0.3409 0.0402
6 Pb 0.2500 0.8409 0.4598
7 Pb 0.7500 0.1591 0.5402
8 Pb 0.2500 0.6591 0.9598



Record 7
Crystalline La3Pb at its relaxed geometry, computed with GGA-PBEsol.

Cell: 4.9084 4.9084 6.1857 Å, 113.38 113.38 90.00°
Element x y z (fractional)
1 Pb 0.0000 0.0000 0.0000
2 La 0.7500 0.2500 0.5000
3 La 0.5000 0.5000 0.0000
4 La 0.2500 0.7500 0.5000



Record 8
Crystalline La3Pb at its relaxed geometry, computed with GGA-PBEsol.

Cell: 4.9744 4.9744 4.9744 Å, 90.00 90.00 90.00°
Element x y z (fractional)
1 Pb 0.0000 0.0000 0.0000
2 La 0.0000 0.5000 0.5000
3 La 0.5000 0.0000 0.5000
4 La 0.5000 0.5000 0.0000



Record 9
Crystalline LaPb at its relaxed geometry, computed with GGA-PBEsol.

Cell: 4.9035 4.9035 6.7831 Å, 90.00 90.00 120.00°
Element x y z (fractional)
1 Pb 0.0000 0.0000 0.0000
2 Pb 0.0000 0.0000 0.5000
3 La 0.6667 0.3333 0.7500
4 La 0.3333 0.6667 0.2500



Record 10
Crystalline LaPb8 at its relaxed geometry, computed with GGA-PBEsol.

Cell: 5.0298 7.6966 7.6966 Å, 83.87 70.93 70.93°
Element x y z (fractional)
1 La 0.0000 0.0000 0.0000
2 Pb 0.3326 0.0000 0.3347
3 Pb 0.6674 0.0000 0.6653
4 Pb 0.6648 0.3352 0.3352
5 Pb 0.3326 0.3347 0.0000
6 Pb 0.0000 0.3352 0.6648
7 Pb 0.6674 0.6653 0.0000
8 Pb 0.3352 0.6648 0.6648
9 Pb 0.0000 0.6648 0.3352



Record 11
Crystalline LaPb at its relaxed geometry, computed with GGA-PBEsol.

Cell: 4.6904 4.7032 6.4313 Å, 111.45 111.39 90.00°
Element x y z (fractional)
1 Pb 0.3746 0.1246 0.7492
2 Pb 0.6254 0.8754 0.2508
3 La 0.8751 0.6251 0.7502
4 La 0.1249 0.3749 0.2498



Record 12
Crystalline La3Pb at its relaxed geometry, computed with GGA-PBEsol.

Cell: 3.6262 3.6262 9.7614 Å, 90.00 90.00 90.00°
Element x y z (fractional)
1 La 0.0000 0.0000 0.7661
2 La 0.5000 0.5000 0.5000
3 La 0.0000 0.0000 0.2339
4 Pb 0.5000 0.5000 0.0000



The records above give, respectively, DFT formation energy values of -0.32, -0.32, -0.18, -0.32, -0.38, -0.62, -0.38, -0.42, -0.53, -0.12, -0.60, -0.25 eV/atom.
The records above give, respectively, Fermi-level density of states values of 3.995, 3.313, 10.321, 5.186, 2.145, 1.728, 5.469, 5.514, 1.018, 5.421, 1.338, 4.778 states/eV/f.u..